The following is a DFT calculation (PBE) of a geometry-optimized Pm5Ho8Tl structure.

```
Pm5Ho8Tl
1.0
-4.800 4.800 5.016
4.800 -4.800 5.016
4.800 4.800 -5.016
Pm Ho Tl
5 8 1
Direct
0.000 0.000 0.000
0.209 0.522 0.888
0.478 0.366 0.688
0.634 0.321 0.112
0.679 0.791 0.312
0.161 0.057 0.730
0.327 0.432 0.270
0.420 0.027 0.253
0.568 0.839 0.896
0.774 0.167 0.747
0.833 0.580 0.607
0.943 0.673 0.104
0.973 0.226 0.393
0.250 0.750 0.500
```

## Properties
As for the total energy: -4.2949 eV/atom. As for the crystal system: tetragonal. The magnetization is 0.00 μB per atom. The calculation puts the energy of formation from the pure elements at 187 meV/atom. The density is 8.08 g cm⁻³.

The following is a DFT calculation (PBE) of a geometry-optimized Pm2Ho3Tl6 structure.

```
Pm2Ho3Tl6
1.0
-2.971 2.971 11.249
2.971 -2.971 11.249
2.971 2.971 -11.249
Pm Ho Tl
2 3 6
Direct
0.081 0.081 0.000
0.919 0.919 0.000
0.359 0.359 0.000
0.500 0.500 0.000
0.641 0.641 0.000
0.072 0.572 0.500
0.221 0.221 0.000
0.428 0.928 0.500
0.572 0.072 0.500
0.779 0.779 0.000
0.928 0.428 0.500
```

## Properties
As for the total energy: -3.2510 eV/atom. As for the crystal system: tetragonal. The magnetization is 0.00 μB per atom. The calculation puts the energy of formation from the pure elements at 152 meV/atom. The density is 8.41 g cm⁻³.